# Ca3Si5 (GGA-PBE, relaxed)
data_Ca3Si5
_cell_length_a 6.128
_cell_length_b 6.128
_cell_length_c 4.257
_cell_angle_alpha 90.00
_cell_angle_beta 90.00
_cell_angle_gamma 90.93
_symmetry_space_group_name_H-M 'P 1'
_symmetry_Int_Tables_number 1
_symmetry_space_group_name_Hall 'P 1'
loop_
_atom_site_label
_atom_site_type_symbol
_atom_site_fract_x
_atom_site_fract_y
_atom_site_fract_z
Ca1 Ca 0.500 0.500 0.000
Ca2 Ca 0.772 0.772 0.500
Ca3 Ca 0.228 0.228 0.500
Si1 Si 0.500 0.000 0.000
Si2 Si 0.747 0.253 0.500
Si3 Si 0.253 0.747 0.500
Si4 Si 0.000 0.500 0.000
Si5 Si 0.000 0.000 0.000
# - excess energy over the best structure of this formula in the dataset (eV/f.u.) = 2.66



# Li2Ag3Pd (GGA-PBE, relaxed)
data_Li2Ag3Pd
_cell_length_a 8.387
_cell_length_b 5.490
_cell_length_c 7.186
_cell_angle_alpha 112.46
_cell_angle_beta 125.70
_cell_angle_gamma 90.00
_symmetry_space_group_name_H-M 'P 1'
_symmetry_Int_Tables_number 1
_symmetry_space_group_name_Hall 'P 1'
loop_
_atom_site_label
_atom_site_type_symbol
_atom_site_fract_x
_atom_site_fract_y
_atom_site_fract_z
Ag1 Ag 0.500 0.250 0.000
Ag2 Ag 0.500 0.750 0.000
Ag3 Ag 0.766 0.016 0.533
Ag4 Ag 0.234 0.484 0.467
Ag5 Ag 0.766 0.516 0.533
Ag6 Ag 0.234 0.984 0.467
Li1 Li 0.618 0.377 0.754
Li2 Li 0.864 0.123 0.246
Li3 Li 0.136 0.877 0.754
Li4 Li 0.382 0.623 0.246
Pd1 Pd 0.000 0.500 0.000
Pd2 Pd 0.000 0.000 0.000
# - E_form (eV per atom) = -0.001
# - excess energy over the best structure of this formula in the dataset (eV/f.u.) = 1.27